No. 1
VASP calculation (PBE-GGA) on a geometry-optimized FeCuAs4 structure.

extended XYZ file:
```
6
Lattice="5.327 0.000 0.000 0.000 3.101 0.000 -0.104 0.000 6.056" Properties=species:S:1:pos:R:3 pbc="T T T"
As 3.552 0.000 0.865
As 0.965 1.550 2.271
As 4.258 1.550 3.785
As 1.671 0.000 5.190
Cu 0.000 1.550 0.000
Fe 2.612 0.000 3.028
```


No. 2
VASP calculation (PBE-GGA) on a geometry-optimized FeCu5As2 structure.

extended XYZ file:
```
8
Lattice="-1.785 0.383 3.681 -3.661 -0.781 -1.694 0.818 -6.059 1.026" Properties=species:S:1:pos:R:3 pbc="T T T"
As 0.000 0.000 0.000
As -2.314 -3.229 1.506
Cu -2.723 -0.199 0.993
Cu -0.694 -1.281 2.090
Cu -1.632 -1.863 -0.598
Cu -0.274 -4.396 2.617
Cu -1.211 -4.978 -0.070
Fe 0.409 -3.029 0.513
```


Raw total energy for the records above, in order: -31.05; -34.50 eV per formula unit